This record from Alexandria describes PaSnCl after structural relaxation. The functional is GGA-PBE.

Calculated values
The value obtained for the magnetic moment is 1.03 μB per cell. Its total energy is -17.360 eV per formula unit. The calculation puts the raw formation energy at -0.6715 eV/atom.

Unit cell a=16.9713 b=3.3125 c=5.7378 alpha=90.00 beta=90.00 gamma=90.00
Space group Amm2 (No. 38)
One atom of each set of equivalent atoms:
Pa1 0.1602 0.0000 0.0000 (multiplicity 4)
Sn1 0.0000 0.0000 0.6674 (multiplicity 2)
Sn2 0.5000 0.0000 0.6789 (multiplicity 2)
Cl1 0.2833 0.0000 0.6667 (multiplicity 4)